Entry 1:
This record from the Alexandria database describes an optimized crystal structure of K3LaTh2Te6. The functional is PBE-GGA.

theoretical density: 5464 kg/m³
Fermi-level density of states: 15.19 states/eV per cell
formation energy from raw total energies: -1274 meV per atom

abc: 7.876 13.643 8.806
angles: 90.00 107.36 90.00
Space group C2/m (No. 12)
Inequivalent atoms, fractional coordinates:
K 0.000 0.000 0.000 [2 per cell]
K 0.000 0.335 0.000 [4 per cell]
La 0.000 0.500 0.500 [2 per cell]
Th 0.000 0.167 0.500 [4 per cell]
Te 0.232 0.000 0.719 [4 per cell]
Te 0.244 0.330 0.720 [8 per cell]

Entry 2:
This record from the Alexandria database describes an optimized crystal structure of K3LaTh3Te8. The functional is PBE-GGA.

theoretical density: 5486 kg/m³
Fermi-level density of states: 27.92 states/eV per cell
formation energy from raw total energies: -1258 meV per atom

abc: 9.0320 9.0320 25.3636
angles: 90.00 90.00 120.00
Space group R-3m (No. 166, hexagonal axes)
Inequivalent atoms, fractional coordinates:
K 0.0000 0.5000 0.0000 [9 per cell]
La 0.0000 0.0000 0.5000 [3 per cell]
Th 0.0000 0.5000 0.5000 [9 per cell]
Te 0.0000 0.0000 0.2396 [6 per cell]
Te 0.0100 0.5050 0.7607 [18 per cell]

Entry 3:
This record from the Alexandria database describes an optimized crystal structure of K4LaTh3Te8. The functional is PBE-GGA.

theoretical density: 5585 kg/m³
Fermi-level density of states: 32.17 states/eV per cell
formation energy from raw total energies: -1248 meV per atom

abc: 9.0501 9.0501 25.3048
angles: 90.00 90.00 120.00
Space group R-3m (No. 166, hexagonal axes)
Inequivalent atoms, fractional coordinates:
K 0.0000 0.0000 0.0000 [3 per cell]
K 0.0000 0.5000 0.0000 [9 per cell]
La 0.0000 0.0000 0.5000 [3 per cell]
Th 0.0000 0.5000 0.5000 [9 per cell]
Te 0.0000 0.0000 0.2397 [6 per cell]
Te 0.0058 0.5029 0.7599 [18 per cell]

What is the formula in the third record?
K4LaTh3Te8

Please write out number 2 again, unchanged.
This record from the Alexandria database describes an optimized crystal structure of K3LaTh3Te8. The functional is PBE-GGA.

theoretical density: 5486 kg/m³
Fermi-level density of states: 27.92 states/eV per cell
formation energy from raw total energies: -1258 meV per atom

abc: 9.0320 9.0320 25.3636
angles: 90.00 90.00 120.00
Space group R-3m (No. 166, hexagonal axes)
Inequivalent atoms, fractional coordinates:
K 0.0000 0.5000 0.0000 [9 per cell]
La 0.0000 0.0000 0.5000 [3 per cell]
Th 0.0000 0.5000 0.5000 [9 per cell]
Te 0.0000 0.0000 0.2396 [6 per cell]
Te 0.0100 0.5050 0.7607 [18 per cell]

Which of these has the highest formation energy from raw total energies?
K4LaTh3Te8